Record 1
Here is an optimized crystal structure of TlCoAg2 from OQMD via LeMat-Bulk. Energies are from PBE-GGA.

Geometry as CIF:
```
data_TlCoAg2
_chemical_formula_sum 'Tl4 Co4 Ag8'
_space_group_name_H-M_alt 'F -4 3 m'
_space_group_IT_number 216
_space_group_name_Hall 'F -4 2 3'
_cell_length_a 6.526
_cell_length_b 6.526
_cell_length_c 6.526
_cell_angle_alpha 90.00
_cell_angle_beta 90.00
_cell_angle_gamma 90.00
loop_
_atom_site_label
_atom_site_fract_x
_atom_site_fract_y
_atom_site_fract_z
_atom_site_occupancy
Tl1 0.000 0.000 0.000 1
Co1 0.250 0.250 0.250 1
Ag1 0.000 0.000 0.500 1
Ag2 0.250 0.250 0.750 1
```

Size of the total moment: 5.0 μB per cell
E: -13.5 eV per formula unit

Record 2
Here is an optimized crystal structure of LaPrSn4Ir2 from OQMD via LeMat-Bulk. Energies are from PBE-GGA.

Geometry as CIF:
```
data_LaPrSn4Ir2
_chemical_formula_sum 'La2 Pr2 Sn8 Ir4'
_space_group_name_H-M_alt 'A m m 2'
_space_group_IT_number 38
_cell_length_a 4.652
_cell_length_b 4.540
_cell_length_c 18.999
_cell_angle_alpha 90.00
_cell_angle_beta 90.00
_cell_angle_gamma 90.00
loop_
_space_group_symop_operation_xyz
'x,y,z'
'-x,-y,z'
'-x,y,z'
'x,-y,z'
'x,y+1/2,z+1/2'
'-x,-y+1/2,z+1/2'
'-x,y+1/2,z+1/2'
'x,-y+1/2,z+1/2'
loop_
_atom_site_label
_atom_site_fract_x
_atom_site_fract_y
_atom_site_fract_z
_atom_site_occupancy
La1 0.000 0.000 0.000 1
Pr1 0.500 0.000 0.226 1
Sn1 0.000 0.000 0.364 1
Sn2 0.000 0.000 0.656 1
Sn3 0.500 0.000 0.570 1
Sn4 0.500 0.000 0.861 1
Ir1 0.000 0.000 0.790 1
Ir2 0.500 0.000 0.435 1
```

Size of the total moment: 0.0 μB per cell
E: -48.6 eV per formula unit

Record 3
Here is an optimized crystal structure of NdNiSn from OQMD via LeMat-Bulk. Energies are from PBE-GGA.

Geometry as CIF:
```
data_NdNiSn
_chemical_formula_sum 'Nd2 Ni2 Sn2'
_space_group_name_H-M_alt 'P 63 m c'
_space_group_IT_number 186
_space_group_name_Hall 'P 6c -2c'
_cell_length_a 4.5649
_cell_length_b 4.5649
_cell_length_c 7.3805
_cell_angle_alpha 90.00
_cell_angle_beta 90.00
_cell_angle_gamma 120.00
loop_
_atom_site_label
_atom_site_fract_x
_atom_site_fract_y
_atom_site_fract_z
_atom_site_occupancy
Nd1 0.0000 0.0000 0.0000 1
Ni1 0.3333 0.6667 0.2536 1
Sn1 0.3333 0.6667 0.7480 1
```

Size of the total moment: 0.0 μB per cell
E: -16.1 eV per formula unit

Record 4
Here is an optimized crystal structure of NdHoZn2As2O2 from OQMD via LeMat-Bulk. Energies are from PBE-GGA.

Geometry as CIF:
```
data_NdHoZn2As2O2
_chemical_formula_sum 'Nd1 Ho1 Zn2 As2 O2'
_space_group_name_H-M_alt 'P 4 m m'
_space_group_IT_number 99
_cell_length_a 3.991
_cell_length_b 3.991
_cell_length_c 8.952
_cell_angle_alpha 90.00
_cell_angle_beta 90.00
_cell_angle_gamma 90.00
loop_
_space_group_symop_operation_xyz
'x,y,z'
'-y,x,z'
'-x,-y,z'
'y,-x,z'
'-x,y,z'
'y,x,z'
'x,-y,z'
'-y,-x,z'
loop_
_atom_site_label
_atom_site_fract_x
_atom_site_fract_y
_atom_site_fract_z
_atom_site_occupancy
Nd1 0.000 0.000 0.000 1
Ho1 0.500 0.500 0.253 1
Zn1 0.000 0.500 0.630 1
As1 0.000 0.000 0.451 1
As2 0.500 0.500 0.812 1
O1 0.000 0.500 0.139 1
```

Size of the total moment: 0.0 μB per cell
E: -45.5 eV per formula unit

Record 5
Here is an optimized crystal structure of LiEr4In5 from OQMD via LeMat-Bulk. Energies are from PBE-GGA.

Geometry as CIF:
```
data_LiEr4In5
_chemical_formula_sum 'Li1 Er4 In5'
_space_group_name_H-M_alt 'P 4/m m m'
_space_group_IT_number 123
_space_group_name_Hall '-P 4 2'
_cell_length_a 3.465
_cell_length_b 3.465
_cell_length_c 20.499
_cell_angle_alpha 90.00
_cell_angle_beta 90.00
_cell_angle_gamma 90.00
loop_
_atom_site_label
_atom_site_fract_x
_atom_site_fract_y
_atom_site_fract_z
_atom_site_occupancy
Li1 0.000 0.000 0.000 1
Er1 0.000 0.000 0.184 1
Er2 0.000 0.000 0.395 1
In1 0.500 0.500 0.078 1
In2 0.500 0.500 0.288 1
In3 0.500 0.500 0.500 1
```

Size of the total moment: 0.2 μB per cell
E: -38.0 eV per formula unit

Record 6
Here is an optimized crystal structure of Lu6Ge2Ir from OQMD via LeMat-Bulk. Energies are from PBE-GGA.

Geometry as CIF:
```
data_Lu6Ge2Ir
_chemical_formula_sum 'Lu6 Ge2 Ir1'
_space_group_name_H-M_alt 'P -6 2 m'
_space_group_IT_number 189
_space_group_name_Hall 'P -6 -2'
_cell_length_a 7.6447
_cell_length_b 7.6447
_cell_length_c 4.2142
_cell_angle_alpha 90.00
_cell_angle_beta 90.00
_cell_angle_gamma 120.00
loop_
_atom_site_label
_atom_site_fract_x
_atom_site_fract_y
_atom_site_fract_z
_atom_site_occupancy
Lu1 0.0000 0.3989 0.0000 1
Lu2 0.0000 0.7476 0.5000 1
Ge1 0.3333 0.6667 0.5000 1
Ir1 0.0000 0.0000 0.0000 1
```

Size of the total moment: 0.0 μB per cell
E: -51.7 eV per formula unit

Record 7
Here is an optimized crystal structure of GdPaGe from OQMD via LeMat-Bulk. Energies are from PBE-GGA.

Geometry as CIF:
```
data_GdPaGe
_chemical_formula_sum 'Gd4 Pa4 Ge4'
_space_group_name_H-M_alt 'F -4 3 m'
_space_group_IT_number 216
_space_group_name_Hall 'F -4 2 3'
_cell_length_a 7.031
_cell_length_b 7.031
_cell_length_c 7.031
_cell_angle_alpha 90.00
_cell_angle_beta 90.00
_cell_angle_gamma 90.00
loop_
_atom_site_label
_atom_site_fract_x
_atom_site_fract_y
_atom_site_fract_z
_atom_site_occupancy
Gd1 0.000 0.000 0.000 1
Pa1 0.250 0.250 0.250 1
Ge1 0.000 0.000 0.500 1
```

Size of the total moment: 13.6 μB per cell
E: -16.7 eV per formula unit

Record 8
Here is an optimized crystal structure of Dy2TmIn3CuGe2 from OQMD via LeMat-Bulk. Energies are from PBE-GGA.

Geometry as CIF:
```
data_Dy2TmIn3CuGe2
_chemical_formula_sum 'Dy4 Tm2 In6 Cu2 Ge4'
_space_group_name_H-M_alt 'A m m 2'
_space_group_IT_number 38
_cell_length_a 4.209
_cell_length_b 12.734
_cell_length_c 7.370
_cell_angle_alpha 90.00
_cell_angle_beta 90.00
_cell_angle_gamma 90.00
loop_
_space_group_symop_operation_xyz
'x,y,z'
'-x,-y,z'
'-x,y,z'
'x,-y,z'
'x,y+1/2,z+1/2'
'-x,-y+1/2,z+1/2'
'-x,y+1/2,z+1/2'
'x,-y+1/2,z+1/2'
loop_
_atom_site_label
_atom_site_fract_x
_atom_site_fract_y
_atom_site_fract_z
_atom_site_occupancy
Dy1 0.000 0.202 0.000 1
Tm1 0.000 0.000 0.606 1
In1 0.500 0.000 0.960 1
In2 0.500 0.122 0.324 1
Cu1 0.000 0.000 0.206 1
Ge1 0.500 0.165 0.702 1
```

Size of the total moment: 0.0 μB per cell
E: -39.7 eV per formula unit